[1]
{"formula": "PaAlReTc", "functional": "PBE", "state": "relaxed", "space_group": "F-43m (216)", "delta_e_f_ev_per_fu": -0.75, "n_ef_per_ev_cell": 5.756, "e_tot_ev_per_atom": -9.20, "lattice_angstrom": [[-3.9462, -1.5016, -1.8813], [-3.0106, -2.4036, 2.5547], [-4.0237, 1.9097, 1.2370]], "species": ["Al", "Re", "Pa", "Tc"], "fractional_positions": [[0.7500, 0.7500, 0.7500], [0.0000, 0.0000, 0.0000], [0.2500, 0.2500, 0.2500], [0.5000, 0.5000, 0.5000]]}

---

[2]
{"formula": "PaTiAlRe", "functional": "PBE", "state": "relaxed", "space_group": "F-43m (216)", "delta_e_f_ev_per_fu": -0.90, "n_ef_per_ev_cell": 4.354, "e_tot_ev_per_atom": -8.62, "lattice_angstrom": [[-2.9380, 0.6111, -3.5387], [-3.5108, -2.9653, -0.6390], [-4.3612, 1.3583, 0.8138]], "species": ["Pa", "Ti", "Re", "Al"], "fractional_positions": [[0.0000, 0.0000, 0.0000], [0.2500, 0.2500, 0.2500], [0.7500, 0.7500, 0.7500], [0.5000, 0.5000, 0.5000]]}

---

[3]
{"formula": "PaAlZnRe", "functional": "PBE", "state": "relaxed", "space_group": "F-43m (216)", "delta_e_f_ev_per_fu": 0.14, "n_ef_per_ev_cell": 4.201, "e_tot_ev_per_atom": -6.70, "lattice_angstrom": [[-2.4985, 2.9138, 2.6981], [-0.9145, -1.1361, 4.4593], [2.0894, 2.3356, 3.4917]], "species": ["Pa", "Zn", "Al", "Re"], "fractional_positions": [[0.2500, 0.2500, 0.2500], [0.0000, 0.0000, 0.0000], [0.7500, 0.7500, 0.7500], [0.5000, 0.5000, 0.5000]]}

---

[4]
{"formula": "ZrPaAlRe", "functional": "PBE", "state": "relaxed", "space_group": "F-43m (216)", "delta_e_f_ev_per_fu": -0.59, "n_ef_per_ev_cell": 4.258, "e_tot_ev_per_atom": -8.71, "lattice_angstrom": [[4.7529, 0.0000, 0.0000], [2.3764, 4.1161, 0.0000], [2.3764, 1.3720, 3.8807]], "species": ["Zr", "Al", "Pa", "Re"], "fractional_positions": [[0.0000, 0.0000, 0.0000], [0.7500, 0.7500, 0.7500], [0.2500, 0.2500, 0.2500], [0.5000, 0.5000, 0.5000]]}

---

[5]
{"formula": "PaAlRh2", "functional": "PBE", "state": "relaxed", "space_group": "R-3m (166)", "delta_e_f_ev_per_fu": -3.42, "n_ef_per_ev_cell": 2.769, "e_tot_ev_per_atom": -7.84, "lattice_angstrom": [[-3.7727, -1.9170, -0.7326], [-2.3254, -1.4912, 3.2884], [-4.1227, 2.8508, 1.1819]], "species": ["Al", "Pa", "Rh", "Rh"], "fractional_positions": [[0.5000, 0.5000, 0.5000], [0.0000, 0.0000, 0.0000], [0.7775, 0.7775, 0.6675], [0.2225, 0.2225, 0.3325]]}

---

[6]
{"formula": "PaAlRh5", "functional": "PBE", "state": "relaxed", "space_group": "P4/mmm (123)", "delta_e_f_ev_per_fu": -4.45, "n_ef_per_ev_cell": 6.362, "e_tot_ev_per_atom": -7.78, "lattice_angstrom": [[4.1145, 0.0000, 0.0000], [0.0000, 4.1145, 0.0000], [0.0000, 0.0000, 6.7500]], "species": ["Rh", "Al", "Rh", "Rh", "Rh", "Rh", "Pa"], "fractional_positions": [[0.0000, 0.5000, 0.2129], [0.5000, 0.5000, 0.0000], [0.0000, 0.5000, 0.7871], [0.5000, 0.0000, 0.2129], [0.5000, 0.5000, 0.5000], [0.5000, 0.0000, 0.7871], [0.0000, 0.0000, 0.5000]]}

---

Number 1: total magnetic moment 0.00 Bohr magnetons per cell. Number 2: total magnetic moment 0.00 Bohr magnetons per cell. Number 3: total magnetic moment 0.00 Bohr magnetons per cell. Number 4: total magnetic moment 0.00 Bohr magnetons per cell. Number 5: total magnetic moment 0.00 Bohr magnetons per cell. Number 6: total magnetic moment 0.00 Bohr magnetons per cell.